(1)
The following is a DFT calculation (PBE) of crystalline RbBe2H2 at its relaxed geometry. Values from VASP.

## Properties
E above lowest polymorph ... 57 meV/atom
Magnetization ... 0.0 μB/f.u.
Total DFT energy (no corrections) ... -0.1089 hartree per atom

Cell and atoms, written as Quantum ESPRESSO input:
```
&SYSTEM
  ibrav = 0, nat = 10, ntyp = 3
/
ATOMIC_SPECIES
Rb 85.47 Rb.upf
Be 9.01 Be.upf
H 1.01 H.upf
CELL_PARAMETERS angstrom
3.471 -6.057 0.000
3.471 6.057 0.000
-0.077 0.000 3.825
ATOMIC_POSITIONS crystal
Rb 0.181 0.819 0.000
Rb 0.819 0.181 0.000
Be 0.357 0.357 0.509
Be 0.452 0.452 0.987
Be 0.524 0.691 0.497
Be 0.691 0.524 0.497
H 0.246 0.246 0.824
H 0.515 0.890 0.496
H 0.764 0.764 0.427
H 0.890 0.515 0.496
```

=====

(2)
The following is a DFT calculation (PBE) of crystalline NaTe2RuN at its relaxed geometry. Values from VASP.

## Properties
E above lowest polymorph ... 1729 meV/atom
Magnetization ... 4.5 μB/f.u.
Raw formation energy ... 1745 meV/atom
Total DFT energy (no corrections) ... -0.1211 hartree per atom

Cell and atoms, written as Quantum ESPRESSO input:
```
&SYSTEM
  ibrav = 0, nat = 5, ntyp = 4
/
ATOMIC_SPECIES
Na 22.99 Na.upf
Te 127.60 Te.upf
Ru 101.07 Ru.upf
N 14.01 N.upf
CELL_PARAMETERS angstrom
5.427 0.000 0.000
0.000 5.427 0.000
0.000 0.000 4.019
ATOMIC_POSITIONS crystal
Na 0.000 0.000 0.000
Te 0.000 0.500 0.000
Te 0.500 0.000 0.000
Ru 0.500 0.500 0.500
N 0.000 0.000 0.500
```